1.
Compound: Nd14YCd
Source: Alexandria via LeMat-Bulk
Functional: PBE-GGA
Structure: optimized geometry

Structure (CIF):
```
data_Nd14YCd
_symmetry_space_group_name_H-M 'P 4/m m m'
_symmetry_Int_Tables_number 123
_symmetry_space_group_name_Hall '-P 4 2'
_cell_length_a 7.254
_cell_length_b 7.254
_cell_length_c 10.334
_cell_angle_alpha 90.00
_cell_angle_beta 90.00
_cell_angle_gamma 90.00
loop_
_atom_site_label
_atom_site_type_symbol
_atom_site_fract_x
_atom_site_fract_y
_atom_site_fract_z
Nd1 Nd 0.000 0.000 0.000
Nd2 Nd 0.000 0.500 0.000
Nd3 Nd 0.000 0.500 0.500
Nd4 Nd 0.248 0.248 0.254
Nd5 Nd 0.500 0.500 0.000
Y1 Y 0.500 0.500 0.500
Cd1 Cd 0.000 0.000 0.500
```

2.
Compound: NdY14Cd
Source: Alexandria via LeMat-Bulk
Functional: PBE-GGA
Structure: optimized geometry

Structure (CIF):
```
data_NdY14Cd
_symmetry_space_group_name_H-M 'A m m 2'
_symmetry_Int_Tables_number 38
_symmetry_space_group_name_Hall 'A 2 -2'
_cell_length_a 11.309
_cell_length_b 7.239
_cell_length_c 12.497
_cell_angle_alpha 90.00
_cell_angle_beta 90.00
_cell_angle_gamma 90.00
loop_
_atom_site_label
_atom_site_type_symbol
_atom_site_fract_x
_atom_site_fract_y
_atom_site_fract_z
Nd1 Nd 0.000 0.000 0.000
Y1 Y 0.000 0.242 0.760
Y2 Y 0.244 0.000 0.344
Y3 Y 0.244 0.249 0.592
Y4 Y 0.256 0.000 0.842
Y5 Y 0.500 0.000 0.012
Y6 Y 0.500 0.000 0.510
Y7 Y 0.500 0.248 0.259
Cd1 Cd 0.000 0.000 0.509
```

Values for size of the total moment, μB per cell, ordered as above
0.00; 0.10
Values for formation energy from the elements, eV per atom, ordered as above
-0.01; -0.02